# 1
PrGd3Pd PBE optimized geometry; Fermi-level density of states = 1.80 states/eV/atom; calculated formation energy = -0.16 eV per atom; symmetry = Pm-3m, No. 221
1.0
5.542 0.000 0.000
0.000 5.542 0.000
0.000 0.000 5.542
Gd Pd Pr
3 1 1
Direct
0.000 0.500 0.000 Gd
0.000 0.000 0.500 Gd
0.500 0.000 0.000 Gd
0.000 0.000 0.000 Pd
0.500 0.500 0.500 Pr

***

# 2
PrGd2Pd PBE optimized geometry; relative energy among the computed polymorphs = 0.00 eV per formula unit; Fermi-level density of states = 1.42 states/eV/atom; calculated formation energy = -0.39 eV per atom; symmetry = P4/mmm, No. 123
1.0
3.619 0.000 0.000
0.000 3.619 0.000
0.000 0.000 8.670
Pr Gd Pd
1 2 1
Direct
0.500 0.500 0.500 Pr
0.000 0.000 0.806 Gd
0.000 0.000 0.194 Gd
0.500 0.500 0.000 Pd